Record 1
# PBE LaCd3Pd, relaxed
# - ΔE to the lowest computed polymorph (meV per atom) = 1546
# - formation enthalpy at 0 K (kJ/mol of formula units) = 525
# - total magnetization (μB/f.u.) = 0.00
data_LaCd3Pd
_chemical_formula_sum 'La1 Cd3 Pd1'
_symmetry_space_group_name_H-M 'P m -3 m'
_symmetry_Int_Tables_number 221
_symmetry_space_group_name_Hall '-P 4 2 3'
_cell_length_a 6.0203
_cell_length_b 6.0203
_cell_length_c 6.0203
_cell_angle_alpha 90.00
_cell_angle_beta 90.00
_cell_angle_gamma 90.00
loop_
_atom_site_label
_atom_site_fract_x
_atom_site_fract_y
_atom_site_fract_z
La1 0.0000 0.0000 0.0000
Cd1 0.0000 0.0000 0.5000
Pd1 0.5000 0.5000 0.5000

***

Record 2
# PBE Sm5Tl2Zn, relaxed
# - ΔE to the lowest computed polymorph (meV per atom) = 236
# - formation enthalpy at 0 K (kJ/mol of formula units) = -36
# - total magnetization (μB/f.u.) = 0.00
data_Sm5Tl2Zn
_chemical_formula_sum 'Sm20 Tl8 Zn4'
_symmetry_space_group_name_H-M 'C m c m'
_symmetry_Int_Tables_number 63
_symmetry_space_group_name_Hall '-C 2c 2'
_cell_length_a 5.7780
_cell_length_b 13.0249
_cell_length_c 13.0648
_cell_angle_alpha 90.00
_cell_angle_beta 90.00
_cell_angle_gamma 90.00
loop_
_atom_site_label
_atom_site_fract_x
_atom_site_fract_y
_atom_site_fract_z
Sm1 0.0000 0.0585 0.1100
Sm2 0.0000 0.3789 0.0493
Sm3 0.0000 0.4072 0.7500
Tl1 0.0000 0.1985 0.6256
Zn1 0.0000 0.2461 0.2500